A plane-wave DFT calculation with GGA-PBE was carried out for an optimized crystal structure of Al2NiCl.

Structure (CIF):
```
data_Al2NiCl
_space_group_name_H-M_alt 'F -4 3 m'
_space_group_IT_number 216
_space_group_name_Hall 'F -4 2 3'
_cell_length_a 6.504
_cell_length_b 6.504
_cell_length_c 6.504
_cell_angle_alpha 90.00
_cell_angle_beta 90.00
_cell_angle_gamma 90.00
loop_
_atom_site_label
_atom_site_fract_x
_atom_site_fract_y
_atom_site_fract_z
Al1 0.000 0.000 0.000
Al2 0.250 0.250 0.250
Ni1 0.000 0.000 0.500
Cl1 0.250 0.250 0.750
```

Calculated values
Relative energy among the computed polymorphs (meV per atom): 886
Total energy (eV/atom): -3.37